(1)
Here is crystalline FeBiO3 at its relaxed geometry from Alexandria. Energies are from PBE+U.

Values from the calculation:
raw total energy	-6.1985	eV/atom
DOS(E_F)	0.000	states/eV/cell

```
FeBiO3
1.0
-1.971 -2.732 -1.676
-1.120 -1.256 3.366
-3.898 2.936 -0.202
Bi Fe O
1 1 3
direct
0.000 0.000 0.004 Bi
0.500 0.500 0.576 Fe
0.500 0.000 0.726 O
0.500 0.500 0.198 O
0.000 0.500 0.726 O
```

(2)
Here is crystalline Fe2BiO4 at its relaxed geometry from Alexandria. Energies are from PBE+U.

Values from the calculation:
raw total energy	-6.3263	eV/atom

```
Fe2BiO4
1.0
-6.214 4.066 5.160
-2.260 -1.426 5.592
0.090 4.487 4.498
O Fe Bi
8 4 2
direct
0.601 0.234 0.784 O
0.183 0.192 0.237 O
0.615 0.766 0.784 O
0.135 0.734 0.716 O
0.149 0.266 0.716 O
0.170 0.692 0.264 O
0.567 0.308 0.263 O
0.580 0.808 0.236 O
0.375 0.750 0.250 Fe
0.375 0.250 0.250 Fe
0.875 0.750 0.750 Fe
0.375 0.250 0.750 Fe
0.761 0.500 0.478 Bi
0.989 0.000 0.022 Bi
```

(3)
Here is crystalline FeBiO3 at its relaxed geometry from Alexandria. Energies are from PBE+U.

Values from the calculation:
raw total energy	-5.5568	eV/atom
DOS(E_F)	1.257	states/eV/cell

```
FeBiO3
1.0
3.832 3.585 1.055
-3.832 3.585 1.055
0.000 1.866 6.104
Fe O Bi
2 6 2
direct
0.381 0.552 0.119 Fe
0.552 0.381 0.619 Fe
0.494 0.808 0.582 O
0.553 0.902 0.756 O
0.902 0.553 0.256 O
0.808 0.494 0.082 O
0.372 0.261 0.985 O
0.261 0.372 0.485 O
0.062 0.937 0.639 Bi
0.937 0.062 0.139 Bi
```

(4)
Here is crystalline FeBiO3 at its relaxed geometry from Alexandria. Energies are from PBE+U.

Values from the calculation:
raw total energy	-6.2140	eV/atom
DOS(E_F)	0.000	states/eV/cell

```
FeBiO3
1.0
-2.205 4.754 -2.067
1.805 -4.024 -3.505
-2.936 -4.887 -0.430
O Bi Fe
6 2 2
direct
0.435 0.114 0.358 O
0.037 0.565 0.358 O
0.537 0.614 0.858 O
0.935 0.463 0.858 O
0.386 0.065 0.858 O
0.886 0.963 0.358 O
0.499 0.501 0.497 Bi
0.999 0.001 0.997 Bi
0.220 0.780 0.661 Fe
0.720 0.280 0.161 Fe
```

(5)
Here is crystalline FeBiO2 at its relaxed geometry from Alexandria. Energies are from PBE+U.

Values from the calculation:
raw total energy	-5.9048	eV/atom
DOS(E_F)	1.717	states/eV/cell

```
FeBiO2
1.0
3.731 -1.540 5.697
5.506 0.673 4.240
3.056 1.553 6.082
O Fe Bi
2 1 1
direct
0.883 0.883 0.883 O
0.117 0.117 0.117 O
0.500 0.500 0.500 Fe
0.000 0.000 0.000 Bi
```

(6)
Here is crystalline FeBiO2 at its relaxed geometry from Alexandria. Energies are from PBE+U.

Values from the calculation:
raw total energy	-5.4985	eV/atom
DOS(E_F)	2.110	states/eV/cell

```
FeBiO2
1.0
2.108 0.000 6.006
-1.054 1.825 6.006
-1.054 -1.825 6.006
Bi O Fe
1 2 1
direct
0.500 0.500 0.500 Bi
0.104 0.104 0.104 O
0.896 0.896 0.896 O
0.000 0.000 0.000 Fe
```

(7)
Here is crystalline Fe2BiO at its relaxed geometry from Alexandria. Energies are from PBE+U.

Values from the calculation:
raw total energy	-5.3141	eV/atom
DOS(E_F)	1.360	states/eV/cell
ΔE to the lowest computed polymorph	0.0	meV per atom

```
Fe2BiO
1.0
-2.710 -4.323 1.524
4.583 -2.556 0.902
0.936 -1.521 6.652
Fe O Bi
4 2 2
direct
0.875 0.625 0.750 Fe
0.375 0.625 0.750 Fe
0.375 0.125 0.250 Fe
0.375 0.625 0.250 Fe
0.500 0.500 0.000 O
0.250 0.750 0.500 O
0.000 0.000 0.000 Bi
0.750 0.250 0.500 Bi
```

(8)
Here is crystalline FeBiO3 at its relaxed geometry from Alexandria. Energies are from PBE+U.

Values from the calculation:
raw total energy	-6.1951	eV/atom
DOS(E_F)	0.000	states/eV/cell

```
FeBiO3
1.0
3.981 8.975 0.032
-3.981 8.975 0.032
0.000 1.754 5.352
O Bi Fe
18 6 6
direct
0.682 0.318 0.500 O
0.401 0.959 0.868 O
0.616 0.616 0.184 O
0.272 0.272 0.536 O
0.057 0.057 0.255 O
0.318 0.682 0.500 O
0.384 0.384 0.816 O
0.959 0.401 0.868 O
0.944 0.362 0.398 O
0.728 0.728 0.464 O
0.638 0.056 0.602 O
0.943 0.943 0.745 O
0.362 0.944 0.398 O
0.056 0.638 0.602 O
0.285 0.715 0.000 O
0.599 0.041 0.132 O
0.715 0.285 0.000 O
0.041 0.599 0.132 O
0.915 0.915 0.376 Bi
0.085 0.085 0.624 Bi
0.247 0.247 0.967 Bi
0.583 0.583 0.614 Bi
0.417 0.417 0.386 Bi
0.753 0.753 0.033 Bi
0.000 0.500 0.500 Fe
0.665 0.169 0.842 Fe
0.831 0.335 0.158 Fe
0.500 0.000 0.500 Fe
0.169 0.665 0.842 Fe
0.335 0.831 0.158 Fe
```

What is the raw total energy in the fourth record?
-6.2140 eV/atom

Which formula does entry 3 have?
FeBiO3

raw total energy of number 5 (FeBiO2)?
-5.9048 eV/atom

raw total energy of number 1 (FeBiO3)?
-6.1985 eV/atom